DFT (PBE) results for an optimized crystal structure of LiMnBr2N.

Output
Formation energy without anion corrections   519.2 meV per atom
VASP energy   -20.2 eV per formula unit

a = 4.958 Å, b = 4.958 Å, c = 3.712 Å
α = 90.00°, β = 90.00°, γ = 90.00°
Sites, in units of the cell vectors:
1 Li 0.000 0.000 0.000
2 Mn 0.500 0.500 0.000
3 Br 0.000 0.500 0.500
4 Br 0.500 0.000 0.500
5 N 0.000 0.000 0.500

=====

DFT (PBE) results for an optimized crystal structure of PmSmCdGa.

Output
ΔE_f   -168 kJ/mol of formula units
VASP energy   -15.2 eV per formula unit

a = 5.299 Å, b = 5.299 Å, c = 5.299 Å
α = 60.00°, β = 60.00°, γ = 60.00°
Sites, in units of the cell vectors:
1 Pm 0.000 0.000 0.000
2 Sm 0.500 0.500 0.500
3 Cd 0.250 0.250 0.250
4 Ga 0.750 0.750 0.750

=====

DFT (PBE) results for an optimized crystal structure of PrSmCoCl.

Output
Formation energy without anion corrections   -807.2 meV per atom
VASP energy   -21.7 eV per formula unit

a = 7.986 Å, b = 7.986 Å, c = 7.986 Å
α = 28.43°, β = 28.43°, γ = 28.43°
Sites, in units of the cell vectors:
1 Pr 0.000 0.000 0.000
2 Sm 0.201 0.201 0.201
3 Co 0.599 0.599 0.599
4 Cl 0.771 0.771 0.771

=====

DFT (PBE) results for an optimized crystal structure of CoPH2.

Output
VASP energy   -19.3 eV per formula unit
Distance to the lowest polymorph of the same formula   79 meV/atom

a = 4.008 Å, b = 4.008 Å, c = 6.106 Å
α = 111.16°, β = 111.16°, γ = 46.85°
Sites, in units of the cell vectors:
1 Co 0.070 0.070 0.246
2 Co 0.930 0.930 0.754
3 P 0.192 0.192 0.646
4 P 0.808 0.808 0.354
5 H 0.122 0.122 0.009
6 H 0.499 0.499 0.769
7 H 0.501 0.501 0.231
8 H 0.878 0.878 0.991

=====

DFT (PBE) results for an optimized crystal structure of Cs2AgBr3Cl.

Output
Formation energy without anion corrections   -1188.8 meV per atom
VASP energy   -19.7 eV per formula unit

a = 9.678 Å, b = 9.678 Å, c = 9.678 Å
α = 147.59°, β = 146.90°, γ = 47.00°
Sites, in units of the cell vectors:
1 Cs 0.137 0.137 0.000
2 Cs 0.863 0.863 0.000
3 Ag 0.500 0.500 0.000
4 Br 0.347 0.347 0.000
5 Br 0.500 0.000 0.500
6 Br 0.653 0.653 0.000
7 Cl 0.000 0.500 0.500

=====

DFT (PBE) results for an optimized crystal structure of CePmHgPt.

Output
ΔE_f   -250 kJ/mol of formula units
VASP energy   -19.6 eV per formula unit

a = 5.222 Å, b = 5.222 Å, c = 5.222 Å
α = 60.00°, β = 60.00°, γ = 60.00°
Sites, in units of the cell vectors:
1 Ce 0.000 0.000 0.000
2 Pm 0.500 0.500 0.500
3 Hg 0.750 0.750 0.750
4 Pt 0.250 0.250 0.250

=====

DFT (PBE) results for an optimized crystal structure of BaCoI3.

Output
Formation energy without anion corrections   -31.7 meV per atom
VASP energy   -13.8 eV per formula unit
Distance to the lowest polymorph of the same formula   698 meV/atom

a = 6.709 Å, b = 6.709 Å, c = 6.709 Å
α = 90.00°, β = 90.00°, γ = 90.00°
Sites, in units of the cell vectors:
1 Ba 0.000 0.000 0.000
2 Co 0.500 0.500 0.500
3 I 0.000 0.000 0.500
4 I 0.000 0.500 0.000
5 I 0.500 0.000 0.000

=====

DFT (PBE) results for an optimized crystal structure of Hf3Ga.

Output
ΔE_f   -97 kJ/mol of formula units
VASP energy   -33.9 eV per formula unit

a = 5.728 Å, b = 5.728 Å, c = 9.178 Å
α = 90.00°, β = 90.00°, γ = 146.64°
Sites, in units of the cell vectors:
1 Hf 0.049 0.951 0.750
2 Hf 0.367 0.633 0.529
3 Hf 0.367 0.633 0.971
4 Hf 0.633 0.367 0.029
5 Hf 0.633 0.367 0.471
6 Hf 0.951 0.049 0.250
7 Ga 0.234 0.766 0.250
8 Ga 0.766 0.234 0.750

=====

DFT (PBE) results for an optimized crystal structure of PuPa2Co.

Output
ΔE_f   2 kJ/mol of formula units
VASP energy   -40.4 eV per formula unit
Distance to the lowest polymorph of the same formula   31 meV/atom

a = 8.815 Å, b = 8.815 Å, c = 8.815 Å
α = 22.70°, β = 22.70°, γ = 22.70°
Sites, in units of the cell vectors:
1 Pu 0.000 0.000 0.000
2 Pa 0.230 0.230 0.230
3 Pa 0.429 0.429 0.429
4 Co 0.827 0.827 0.827

=====

DFT (PBE) results for an optimized crystal structure of Sm6CoAu2.

Output
ΔE_f   -333 kJ/mol of formula units
VASP energy   -45.4 eV per formula unit

a = 6.900 Å, b = 7.350 Å, c = 12.164 Å
α = 90.00°, β = 123.21°, γ = 90.00°
Sites, in units of the cell vectors:
1 Sm 0.122 0.021 0.251
2 Sm 0.122 0.479 0.751
3 Sm 0.245 0.690 0.063
4 Sm 0.245 0.810 0.563
5 Sm 0.375 0.187 0.058
6 Sm 0.375 0.313 0.558
7 Sm 0.625 0.687 0.442
8 Sm 0.625 0.813 0.942
9 Sm 0.755 0.190 0.437
10 Sm 0.755 0.310 0.937
11 Sm 0.878 0.521 0.249
12 Sm 0.878 0.979 0.749
13 Co 0.000 0.000 0.000
14 Co 0.000 0.500 0.500
15 Au 0.304 0.103 0.757
16 Au 0.304 0.397 0.257
17 Au 0.696 0.603 0.743
18 Au 0.696 0.897 0.243

=====

DFT (PBE) results for an optimized crystal structure of CsAlFe3.

Output
ΔE_f   620 kJ/mol of formula units
VASP energy   -23.6 eV per formula unit
Distance to the lowest polymorph of the same formula   0 meV/atom

a = 4.854 Å, b = 4.854 Å, c = 4.854 Å
α = 90.00°, β = 90.00°, γ = 90.00°
Sites, in units of the cell vectors:
1 Cs 0.000 0.000 0.000
2 Al 0.500 0.500 0.500
3 Fe 0.000 0.500 0.500
4 Fe 0.500 0.000 0.500
5 Fe 0.500 0.500 0.000

=====

DFT (PBE) results for an optimized crystal structure of Sr3ZnGa2Au6.

Output
ΔE_f   -560 kJ/mol of formula units
VASP energy   -37.8 eV per formula unit

a = 6.443 Å, b = 6.443 Å, c = 8.407 Å
α = 90.00°, β = 90.00°, γ = 120.00°
Sites, in units of the cell vectors:
1 Sr 0.000 0.000 0.000
2 Sr 0.333 0.667 0.645
3 Sr 0.667 0.333 0.355
4 Zn 0.000 0.000 0.500
5 Ga 0.333 0.667 0.053
6 Ga 0.667 0.333 0.947
7 Au 0.178 0.356 0.296
8 Au 0.178 0.822 0.296
9 Au 0.356 0.178 0.704
10 Au 0.644 0.822 0.296
11 Au 0.822 0.178 0.704
12 Au 0.822 0.644 0.704